1.
This record from Alexandria describes a geometry-optimized CePrSmMg structure. The functional is PBE-GGA.

Output
Energy relative to the elements in eV/atom: 0.136
Space-group type: F-43m, No. 216
Calculated volume in Å³ per cell: 124.02
Spin magnetization in μB/f.u.: 1.2

a b c (Å): 5.598 5.598 5.598
angles (deg): 60.00 60.00 60.00
Positions (direct):
Ce1 0.500 0.500 0.500
Sm1 0.750 0.750 0.750
Mg1 0.000 0.000 0.000
Pr1 0.250 0.250 0.250

2.
This record from Alexandria describes a geometry-optimized CePrMgSn structure. The functional is PBE-GGA.

Output
Energy relative to the elements in eV/atom: -0.348
Space-group type: F-43m, No. 216
Calculated volume in Å³ per cell: 115.35
Spin magnetization in μB/f.u.: 1.2

a b c (Å): 5.464 5.464 5.464
angles (deg): 60.00 60.00 60.00
Positions (direct):
Pr1 0.250 0.250 0.250
Sn1 0.500 0.500 0.500
Ce1 0.750 0.750 0.750
Mg1 0.000 0.000 0.000

3.
This record from Alexandria describes a geometry-optimized Ce2PrMg2Sn2 structure. The functional is PBE-GGA.

Output
Energy relative to the elements in eV/atom: -0.320
Space-group type: R-3m, No. 166
Calculated volume in Å³ per cell: 188.15
Spin magnetization in μB/f.u.: 2.8

a b c (Å): 4.808 4.808 9.798
angles (deg): 75.80 75.80 60.00
Positions (direct):
Sn1 0.266 0.266 0.202
Sn2 0.734 0.734 0.798
Pr1 0.000 0.000 0.000
Mg1 0.415 0.415 0.755
Mg2 0.585 0.585 0.245
Ce1 0.855 0.855 0.436
Ce2 0.145 0.145 0.564